Record 1
First-principles (PBE-GGA) data for a geometry-optimized KCoN2 structure, as listed in the Alexandria database.

Summary:
Calculated total energy ... -4.997 eV/atom
ΔE_f (raw) ... 469 kJ/mol of formula units
Relative energy among the computed polymorphs ... 3.84 eV/f.u.
M_tot ... 0.07 μB/cell

a = 7.1091 Å, b = 7.1091 Å, c = 7.1091 Å
α = 30.31°, β = 30.31°, γ = 30.31°
Fractional positions:
K: 0.5000 0.5000 0.5000
Co: 0.0000 0.0000 0.0000
N: 0.9202 0.9202 0.9202
N: 0.0798 0.0798 0.0798

Record 2
First-principles (PBE-GGA) data for a geometry-optimized Pr6Ni2AsBr3 structure, as listed in the Alexandria database.

Summary:
Calculated total energy ... -5.142 eV/atom
ΔE_f (raw) ... -1138 kJ/mol of formula units
M_tot ... 0.00 μB/cell

a = 7.2815 Å, b = 7.2815 Å, c = 7.9080 Å
α = 98.93°, β = 98.93°, γ = 119.62°
Fractional positions:
Pr: 0.9322 0.5806 0.7974
Pr: 0.7154 0.7154 0.2006
Pr: 0.0678 0.4194 0.2026
Pr: 0.5806 0.9322 0.7974
Pr: 0.2846 0.2846 0.7994
Pr: 0.4194 0.0678 0.2026
Ni: 0.3328 0.6672 0.0000
Ni: 0.6672 0.3328 0.0000
As: 0.0000 0.0000 0.0000
Br: 0.1595 0.8405 0.5000
Br: 0.8405 0.1595 0.5000
Br: 0.5000 0.5000 0.5000

Record 3
First-principles (PBE-GGA) data for a geometry-optimized SrTm4S6 structure, as listed in the Alexandria database.

Summary:
Calculated total energy ... -6.083 eV/atom
ΔE_f (raw) ... -2179 kJ/mol of formula units
M_tot ... 0.00 μB/cell

a = 3.8913 Å, b = 6.6768 Å, c = 19.9733 Å
α = 90.00°, β = 90.00°, γ = 106.94°
Fractional positions:
Sr: 0.6572 0.3145 0.2500
Sr: 0.3428 0.6855 0.7500
Tm: 0.8629 0.7258 0.5400
Tm: 0.4049 0.8098 0.1279
Tm: 0.1371 0.2742 0.4600
Tm: 0.5951 0.1902 0.8721
Tm: 0.8629 0.7258 0.9600
Tm: 0.1371 0.2742 0.0400
Tm: 0.5951 0.1902 0.6279
Tm: 0.4049 0.8098 0.3721
S: 0.5000 0.0000 0.0000
S: 0.5000 0.0000 0.5000
S: 0.0414 0.0828 0.3410
S: 0.9586 0.9172 0.6590
S: 0.9586 0.9172 0.8410
S: 0.0414 0.0828 0.1590
S: 0.7692 0.5384 0.4150
S: 0.2308 0.4616 0.5850
S: 0.2308 0.4616 0.9150
S: 0.7692 0.5384 0.0850
S: 0.3273 0.6546 0.2500
S: 0.6727 0.3454 0.7500

Record 4
First-principles (PBE-GGA) data for a geometry-optimized AcLa2CeSb4 structure, as listed in the Alexandria database.

Summary:
Calculated total energy ... -5.740 eV/atom
ΔE_f (raw) ... -920 kJ/mol of formula units
M_tot ... 0.79 μB/cell

a = 4.6463 Å, b = 8.0469 Å, c = 8.0457 Å
α = 70.55°, β = 90.00°, γ = 90.00°
Fractional positions:
Ac: 0.0000 0.5000 0.5000
La: 0.0000 0.0000 0.0000
La: 0.5000 0.0000 0.5000
Ce: 0.5000 0.5000 0.0000
Sb: 0.0000 0.7485 0.7583
Sb: 0.0000 0.2515 0.2417
Sb: 0.5000 0.7541 0.2403
Sb: 0.5000 0.2459 0.7597

Record 5
First-principles (PBE-GGA) data for a geometry-optimized MnInSb2 structure, as listed in the Alexandria database.

Summary:
Calculated total energy ... -4.918 eV/atom
ΔE_f (raw) ... 46 kJ/mol of formula units
M_tot ... 3.38 μB/cell

a = 3.2520 Å, b = 3.2520 Å, c = 9.4013 Å
α = 90.00°, β = 90.00°, γ = 100.82°
Fractional positions:
In: 0.5000 0.5000 0.2500
Mn: 0.5000 0.5000 0.7500
Sb: 0.0000 0.0000 0.9449
Sb: 0.0000 0.0000 0.5551

Record 6
First-principles (PBE-GGA) data for a geometry-optimized Re8OsRu2 structure, as listed in the Alexandria database.

Summary:
Calculated formation energy ... 0.24 eV per atom
Calculated total energy ... -11.520 eV/atom
M_tot ... 0.00 μB/cell

a = 4.3001 Å, b = 6.0720 Å, c = 7.4150 Å
α = 114.17°, β = 106.86°, γ = 90.00°
Fractional positions:
Re: 0.6432 0.8540 0.2864
Re: 0.3568 0.5676 0.7136
Re: 0.1610 0.1610 0.3221
Re: 0.0000 0.2975 0.0000
Re: 0.8390 0.8390 0.6779
Re: 0.6432 0.4324 0.2864
Re: 0.3568 0.1460 0.7136
Re: 0.0000 0.7025 0.0000
Os: 0.5000 0.0000 0.0000
Ru: 0.2006 0.7006 0.4012
Ru: 0.7994 0.2994 0.5988

Record 7
First-principles (PBE-GGA) data for a geometry-optimized BAs structure, as listed in the Alexandria database.

Summary:
Calculated formation energy ... 0.36 eV per atom
Calculated total energy ... -5.302 eV/atom
M_tot ... 0.00 μB/cell

a = 3.3926 Å, b = 3.3920 Å, c = 9.6514 Å
α = 90.00°, β = 90.00°, γ = 120.00°
Fractional positions:
As: 0.5043 0.0023 0.2500
As: 0.4957 0.9977 0.7500
B: 0.8376 0.6690 0.2500
B: 0.1624 0.3310 0.7500

Record 8
First-principles (PBE-GGA) data for a geometry-optimized Ca2RhPb structure, as listed in the Alexandria database.

Summary:
Calculated formation energy ... -0.25 eV per atom
Calculated total energy ... -4.014 eV/atom
M_tot ... 0.00 μB/cell

a = 10.0257 Å, b = 10.0257 Å, c = 7.5655 Å
α = 48.50°, β = 48.50°, γ = 90.00°
Fractional positions:
Pb: 0.0000 0.0000 0.0000
Pb: 0.7500 0.2500 0.5000
Ca: 0.4767 0.1250 0.2500
Ca: 0.2733 0.6250 0.2500
Ca: 0.3750 0.5233 0.7500
Ca: 0.8750 0.7267 0.7500
Rh: 0.5000 0.5000 0.0000
Rh: 0.2500 0.7500 0.5000

Record 9
First-principles (PBE-GGA) data for a geometry-optimized SnRu3N structure, as listed in the Alexandria database.

Summary:
Calculated total energy ... -5.031 eV/atom
ΔE_f (raw) ... 1448 kJ/mol of formula units
Relative energy among the computed polymorphs ... 14.34 eV/f.u.
M_tot ... 7.81 μB/cell

a = 4.9808 Å, b = 4.9808 Å, c = 4.9808 Å
α = 90.00°, β = 90.00°, γ = 90.00°
Fractional positions:
Ru: 0.0000 0.5000 0.0000
Ru: 0.0000 0.0000 0.5000
Ru: 0.5000 0.0000 0.0000
Sn: 0.0000 0.0000 0.0000
N: 0.5000 0.5000 0.5000

Record 10
First-principles (PBE-GGA) data for a geometry-optimized Ca3MgSc3Te8 structure, as listed in the Alexandria database.

Summary:
Calculated total energy ... -4.745 eV/atom
ΔE_f (raw) ... -1876 kJ/mol of formula units
M_tot ... 0.00 μB/cell

a = 8.5253 Å, b = 8.5242 Å, c = 8.7322 Å
α = 119.22°, β = 90.00°, γ = 120.01°
Fractional positions:
Ca: 0.0000 0.0000 0.0000
Ca: 0.0000 0.5000 0.0000
Ca: 0.5000 0.5000 0.0000
Mg: 0.0000 0.0000 0.5000
Sc: 0.5000 0.0000 0.5000
Sc: 0.5000 0.5000 0.5000
Sc: 0.0000 0.5000 0.5000
Te: 0.2565 0.5129 0.2694
Te: 0.7435 0.4871 0.7306
Te: 0.7536 0.5071 0.2694
Te: 0.2464 0.4929 0.7306
Te: 0.7535 0.0159 0.2694
Te: 0.2465 0.9841 0.7306
Te: 0.2624 0.0159 0.2694
Te: 0.7376 0.9841 0.7306

Record 11
First-principles (PBE-GGA) data for a geometry-optimized Ce2PrPtN4 structure, as listed in the Alexandria database.

Summary:
Calculated total energy ... -7.987 eV/atom
ΔE_f (raw) ... -763 kJ/mol of formula units
M_tot ... 0.00 μB/cell

a = 3.5038 Å, b = 6.2078 Å, c = 11.9365 Å
α = 90.00°, β = 90.00°, γ = 106.39°
Fractional positions:
Ce: 0.3709 0.7417 0.5532
Ce: 0.6291 0.2583 0.0532
Ce: 0.6291 0.2583 0.4468
Ce: 0.3709 0.7417 0.9468
Pr: 0.1118 0.2236 0.7500
Pr: 0.8882 0.7764 0.2500
Pt: 0.8491 0.6981 0.7500
Pt: 0.1509 0.3019 0.2500
N: 0.2730 0.5459 0.1137
N: 0.7270 0.4541 0.6137
N: 0.7270 0.4541 0.8863
N: 0.2730 0.5459 0.3863
N: 0.0000 0.0000 0.5000
N: 0.0000 0.0000 0.0000
N: 0.4551 0.9101 0.7500
N: 0.5449 0.0899 0.2500

Record 12
First-principles (PBE-GGA) data for a geometry-optimized SrTl3Hg4 structure, as listed in the Alexandria database.

Summary:
Calculated formation energy ... -0.20 eV per atom
Calculated total energy ... -1.448 eV/atom
Relative energy among the computed polymorphs ... 0.00 eV/f.u.
M_tot ... 0.00 μB/cell

a = 5.2721 Å, b = 8.3096 Å, c = 10.5452 Å
α = 90.00°, β = 90.00°, γ = 90.00°
Fractional positions:
Sr: 0.0000 0.5000 0.0000
Sr: 0.0000 0.5000 0.5000
Tl: 0.0000 0.0000 0.0000
Tl: 0.0000 0.0000 0.5000
Tl: 0.4995 0.0000 0.7500
Tl: 0.5005 0.0000 0.2500
Tl: 0.4997 0.5000 0.7500
Tl: 0.5003 0.5000 0.2500
Hg: 0.5000 0.7585 0.0000
Hg: 0.5000 0.7585 0.5000
Hg: 0.5000 0.2415 0.0000
Hg: 0.5000 0.2415 0.5000
Hg: 0.9993 0.7586 0.7500
Hg: 0.0007 0.7586 0.2500
Hg: 0.0007 0.2414 0.2500
Hg: 0.9993 0.2414 0.7500

Record 13
First-principles (PBE-GGA) data for a geometry-optimized Cs4CeCl6 structure, as listed in the Alexandria database.

Summary:
Calculated total energy ... -3.767 eV/atom
ΔE_f (raw) ... -2027 kJ/mol of formula units
M_tot ... 2.86 μB/cell

a = 9.9681 Å, b = 9.9681 Å, c = 10.4224 Å
α = 90.00°, β = 90.00°, γ = 90.00°
Fractional positions:
Cs: 0.3161 0.1839 0.2500
Cs: 0.1839 0.6839 0.7500
Cs: 0.6839 0.8161 0.7500
Cs: 0.8161 0.3161 0.7500
Cs: 0.3161 0.1839 0.7500
Cs: 0.1839 0.6839 0.2500
Cs: 0.8161 0.3161 0.2500
Cs: 0.6839 0.8161 0.2500
Ce: 0.5000 0.5000 0.0000
Ce: 0.0000 0.0000 0.5000
Cl: 0.2749 0.9240 0.5000
Cl: 0.7749 0.5760 0.0000
Cl: 0.5760 0.2251 0.0000
Cl: 0.0760 0.2749 0.5000
Cl: 0.0000 0.0000 0.2294
Cl: 0.5000 0.5000 0.2706
Cl: 0.4240 0.7749 0.0000
Cl: 0.0000 0.0000 0.7706
Cl: 0.2251 0.4240 0.0000
Cl: 0.5000 0.5000 0.7294
Cl: 0.9240 0.7251 0.5000
Cl: 0.7251 0.0760 0.5000

Record 14
First-principles (PBE-GGA) data for a geometry-optimized Ac3PrP2N6 structure, as listed in the Alexandria database.

Summary:
Calculated total energy ... -7.568 eV/atom
ΔE_f (raw) ... -1248 kJ/mol of formula units
M_tot ... 0.00 μB/cell

a = 5.9508 Å, b = 5.9508 Å, c = 6.8170 Å
α = 90.00°, β = 90.00°, γ = 120.00°
Fractional positions:
Ac: 0.3333 0.6667 0.6566
Ac: 0.6667 0.3333 0.3434
Ac: 0.0000 0.0000 0.0000
Pr: 0.0000 0.0000 0.5000
P: 0.6667 0.3333 0.8209
P: 0.3333 0.6667 0.1791
N: 0.6310 0.8155 0.2838
N: 0.1845 0.3690 0.2838
N: 0.1845 0.8155 0.2838
N: 0.8155 0.6310 0.7162
N: 0.3690 0.1845 0.7162
N: 0.8155 0.1845 0.7162

Record 15
First-principles (PBE-GGA) data for a geometry-optimized HfMg2HgTe structure, as listed in the Alexandria database.

Summary:
Calculated total energy ... -3.052 eV/atom
ΔE_f (raw) ... 128 kJ/mol of formula units
M_tot ... 0.00 μB/cell

a = 5.0640 Å, b = 5.4236 Å, c = 5.0640 Å
α = 90.00°, β = 90.00°, γ = 90.00°
Fractional positions:
Mg: 0.0000 0.0000 0.5000
Mg: 0.5000 0.0000 0.0000
Te: 0.5000 0.5000 0.5000
Hf: 0.0000 0.5000 0.0000
Hg: 0.0000 0.0000 0.0000

Record 16
First-principles (PBE-GGA) data for a geometry-optimized Na2Li5Cl3O2 structure, as listed in the Alexandria database.

Summary:
Calculated total energy ... -4.055 eV/atom
ΔE_f (raw) ... -2026 kJ/mol of formula units
M_tot ... 0.00 μB/cell

a = 3.9272 Å, b = 3.9272 Å, c = 11.7010 Å
α = 99.66°, β = 99.66°, γ = 90.00°
Fractional positions:
Na: 0.6884 0.6884 0.3768
Na: 0.3116 0.3116 0.6232
Li: 0.5854 0.0854 0.1707
Li: 0.4146 0.9146 0.8293
Li: 0.0854 0.5854 0.1707
Li: 0.9146 0.4146 0.8293
Li: 0.5000 0.5000 0.0000
Cl: 0.1848 0.1848 0.3696
Cl: 0.8152 0.8152 0.6304
Cl: 0.0000 0.0000 0.0000
O: 0.4148 0.4148 0.8295
O: 0.5852 0.5852 0.1705

Record 17
First-principles (PBE-GGA) data for a geometry-optimized ZnAg2AuF6 structure, as listed in the Alexandria database.

Summary:
Calculated total energy ... -3.474 eV/atom
ΔE_f (raw) ... -1280 kJ/mol of formula units
M_tot ... 1.00 μB/cell

a = 5.2785 Å, b = 6.0537 Å, c = 6.0056 Å
α = 54.64°, β = 71.65°, γ = 72.54°
Fractional positions:
Zn: 0.3161 0.3162 0.0516
Ag: 0.6091 0.6161 0.2815
Ag: 0.0232 0.0164 0.8213
Au: 0.8162 0.8161 0.5516
F: 0.5952 0.1876 0.3008
F: 0.2107 0.9178 0.2625
F: 0.0458 0.4057 0.3102
F: 0.4217 0.7144 0.8407
F: 0.5865 0.2268 0.7927
F: 0.0371 0.4446 0.8024

Record 18
First-principles (PBE-GGA) data for a geometry-optimized TlSbTe structure, as listed in the Alexandria database.

Summary:
Calculated total energy ... -3.151 eV/atom
ΔE_f (raw) ... 17 kJ/mol of formula units
Relative energy among the computed polymorphs ... 0.21 eV/f.u.
M_tot ... 0.00 μB/cell

a = 6.2829 Å, b = 6.2829 Å, c = 6.2829 Å
α = 150.39°, β = 123.35°, γ = 65.22°
Fractional positions:
Sb: 0.9666 0.9666 0.0000
Te: 0.6993 0.6993 0.0000
Tl: 0.3340 0.3340 0.0000

Record 19
First-principles (PBE-GGA) data for a geometry-optimized Mg2VRuSe structure, as listed in the Alexandria database.

Summary:
Calculated total energy ... -4.195 eV/atom
ΔE_f (raw) ... 395 kJ/mol of formula units
M_tot ... 0.63 μB/cell

a = 4.9650 Å, b = 4.5919 Å, c = 4.9650 Å
α = 90.00°, β = 90.00°, γ = 90.00°
Fractional positions:
Ru: 0.0000 0.0000 0.0000
Mg: 0.0000 0.0000 0.5000
Mg: 0.5000 0.0000 0.0000
Se: 0.0000 0.5000 0.0000
V: 0.5000 0.5000 0.5000

Record 20
First-principles (PBE-GGA) data for a geometry-optimized P2S2N structure, as listed in the Alexandria database.

Summary:
Calculated total energy ... -4.194 eV/atom
ΔE_f (raw) ... 620 kJ/mol of formula units
Relative energy among the computed polymorphs ... 0.03 eV/f.u.
M_tot ... 0.00 μB/cell

a = 4.2369 Å, b = 4.2369 Å, c = 3.9425 Å
α = 90.00°, β = 90.00°, γ = 90.00°
Fractional positions:
P: 0.0000 0.5000 0.0000
P: 0.5000 0.0000 0.0000
S: 0.5000 0.5000 0.5000
S: 0.0000 0.0000 0.5000
N: 0.0000 0.0000 0.0000

Record 21
First-principles (PBE-GGA) data for a geometry-optimized ScAgC structure, as listed in the Alexandria database.

Summary:
Calculated formation energy ... -0.19 eV per atom
Calculated total energy ... -6.323 eV/atom
M_tot ... 0.00 μB/cell

a = 9.9802 Å, b = 3.1747 Å, c = 2.8087 Å
α = 89.98°, β = 106.37°, γ = 99.14°
Fractional positions:
Sc: 0.4944 0.9857 0.0750
Sc: 0.7940 0.1354 0.8751
C: 0.6844 0.5808 0.2652
C: 0.6041 0.5402 0.6849
Ag: 0.0365 0.7569 0.6176
Ag: 0.2520 0.3641 0.3328

Record 22
First-principles (PBE-GGA) data for a geometry-optimized YHo6Zn2 structure, as listed in the Alexandria database.

Summary:
Calculated formation energy ... -0.15 eV per atom
Calculated total energy ... -4.201 eV/atom
M_tot ... 0.00 μB/cell

a = 3.6044 Å, b = 6.4593 Å, c = 11.4058 Å
α = 76.30°, β = 80.91°, γ = 73.80°
Fractional positions:
Y: 0.0000 0.0000 0.0000
Ho: 0.6914 0.4920 0.1252
Ho: 0.3086 0.5080 0.8748
Ho: 0.3143 0.7837 0.5876
Ho: 0.9771 0.7170 0.3289
Ho: 0.0229 0.2830 0.6711
Ho: 0.6857 0.2163 0.4124
Zn: 0.3508 0.0921 0.2064
Zn: 0.6492 0.9079 0.7936